*w*
MgSi2Hg PBE optimized geometry; total magnetic moment = 0.00 Bohr magnetons per cell
1.0
0.0000 3.4021 3.4021
3.4021 0.0000 3.4021
3.4021 3.4021 0.0000
Mg Hg Si
1 1 2
direct
0.0000 0.0000 0.0000 Mg
0.5000 0.5000 0.5000 Hg
0.7500 0.7500 0.7500 Si
0.2500 0.2500 0.2500 Si

=====

*x*
MgSi2Hg PBE optimized geometry; total magnetic moment = 0.00 Bohr magnetons per cell
1.0
-6.0858 -2.0988 -4.2621
-0.1465 -6.8401 3.5775
-4.7712 -3.4584 1.5230
Si Hg Mg
4 2 2
direct
0.3750 0.3537 0.7500 Si
0.8750 0.8963 0.7500 Si
0.1037 0.6250 0.2500 Si
0.6463 0.1250 0.2500 Si
0.0000 0.0000 0.0000 Hg
0.7500 0.2500 0.5000 Hg
0.5000 0.5000 0.0000 Mg
0.2500 0.7500 0.5000 Mg

=====

*y*
MgSi2Hg PBE optimized geometry; total magnetic moment = 0.00 Bohr magnetons per cell
1.0
-0.6852 2.6404 -6.8174
-3.1273 -0.1695 -6.6415
-4.0279 3.1715 -5.2570
Si Hg Mg
2 1 1
direct
0.9840 0.9840 0.9840 Si
0.2718 0.2718 0.2718 Si
0.5045 0.5045 0.5045 Hg
0.7397 0.7397 0.7397 Mg

=====

Most stable = *y*

=====

*w*
MgSi2Hg PBE optimized geometry; total magnetic moment = 0.00 Bohr magnetons per cell
1.0
-2.3603 -4.6622 0.6883
0.1765 -4.7728 2.2295
-2.4710 1.5921 4.1814
Si Mg Hg
2 1 1
direct
0.9895 0.9895 0.0457 Si
0.5105 0.5105 0.4543 Si
0.2500 0.2500 0.2500 Mg
0.7500 0.7500 0.7500 Hg

=====

*x*
MgSi2Hg PBE optimized geometry; total magnetic moment = 0.00 Bohr magnetons per cell
1.0
4.7841 0.0000 0.0000
2.3920 4.1431 0.0000
2.3920 1.3810 3.9062
Hg Si Mg
1 2 1
direct
0.5000 0.5000 0.5000 Hg
0.0000 0.0000 0.0000 Si
0.2500 0.2500 0.2500 Si
0.7500 0.7500 0.7500 Mg

=====

Most stable = *w*

=====

*w*
MgSi2Hg PBE optimized geometry; total magnetic moment = 0.00 Bohr magnetons per cell
1.0
3.4013 -0.0380 0.0000
0.0393 3.4013 0.0000
0.0000 0.0000 6.7188
Si Mg Hg
2 1 1
direct
0.5000 0.5000 0.1694 Si
0.0000 0.0000 0.0639 Si
0.5000 0.5000 0.7647 Mg
0.0000 0.0000 0.5021 Hg

=====

*x*
MgSi2Hg PBE optimized geometry; total magnetic moment = 0.00 Bohr magnetons per cell
1.0
5.0201 0.0000 0.0000
0.0000 2.8016 -0.0005
0.0000 0.0019 5.3272
Hg Si Mg
1 2 1
direct
0.5000 0.2500 0.2500 Hg
0.0000 0.2510 0.5108 Si
0.0000 0.2490 0.9892 Si
0.5000 0.7500 0.7500 Mg

=====

Most stable = *w*

=====

*w*
Sm2MgHg3 PBE optimized geometry; total magnetic moment = 0.24 Bohr magnetons per cell
1.0
3.7021 0.0000 0.0000
0.0000 3.7021 0.0000
0.0000 0.0000 11.0821
Sm Hg Mg
2 3 1
direct
0.5000 0.5000 0.1762 Sm
0.5000 0.5000 0.8238 Sm
0.0000 0.0000 0.6500 Hg
0.0000 0.0000 0.3500 Hg
0.0000 0.0000 0.0000 Hg
0.5000 0.5000 0.5000 Mg

=====

*x*
Sm2MgHg3 PBE optimized geometry; total magnetic moment = 0.00 Bohr magnetons per cell
1.0
-2.0523 1.5730 -4.4796
4.7804 -1.9723 0.1034
-4.8986 -11.9758 -1.9609
Mg Sm Hg
2 4 6
direct
0.3333 0.6667 0.6611 Mg
0.6667 0.3333 0.3389 Mg
0.0000 0.0000 0.0000 Sm
0.3333 0.6667 0.1823 Sm
0.0000 0.0000 0.5000 Sm
0.6667 0.3333 0.8177 Sm
0.3333 0.6667 0.4203 Hg
0.6667 0.3333 0.5797 Hg
0.3333 0.6667 0.9114 Hg
0.0000 0.0000 0.2564 Hg
0.0000 0.0000 0.7436 Hg
0.6667 0.3333 0.0886 Hg

=====

Most stable = *x*

=====

*w*
Sm8MgHg2 PBE optimized geometry; total magnetic moment = 0.00 Bohr magnetons per cell
1.0
-1.1132 3.8092 -3.8079
-7.3694 -4.1593 -2.0063
0.7505 3.9414 7.6953
Sm Hg Mg
8 2 1
direct
0.0689 0.7243 0.1379 Sm
0.1395 0.1939 0.2790 Sm
0.5936 0.4545 0.1872 Sm
0.6813 0.9479 0.3626 Sm
0.9311 0.2757 0.8621 Sm
0.8605 0.8061 0.7210 Sm
0.4064 0.5455 0.8128 Sm
0.3187 0.0521 0.6374 Sm
0.7695 0.3720 0.5390 Hg
0.2305 0.6280 0.4610 Hg
0.5000 0.0000 0.0000 Mg

=====

*x*
Sm8MgHg2 PBE optimized geometry; total magnetic moment = 0.00 Bohr magnetons per cell
1.0
5.2975 0.0000 0.0000
0.0000 7.3219 0.1821
-2.6487 -2.9128 8.7250
Hg Sm Mg
2 8 1
direct
0.1874 0.7076 0.3749 Hg
0.8126 0.2924 0.6251 Hg
0.8107 0.7044 0.6215 Sm
0.6687 0.9649 0.3375 Sm
0.1893 0.2956 0.3785 Sm
0.5903 0.4667 0.1806 Sm
0.3313 0.0351 0.6625 Sm
0.4097 0.5333 0.8194 Sm
0.9734 0.2391 0.9468 Sm
0.0266 0.7609 0.0532 Sm
0.5000 0.0000 0.0000 Mg

=====

Most stable = *w*

=====

*w*
Sm6Mg2Hg PBE optimized geometry; total magnetic moment = 0.00 Bohr magnetons per cell
1.0
6.3661 0.0000 0.9009
0.0000 9.6365 0.0000
0.5338 0.0000 9.2913
Sm Hg Mg
12 2 4
direct
0.0822 0.3046 0.0646 Sm
0.5822 0.1954 0.5646 Sm
0.9178 0.6954 0.9354 Sm
0.1020 0.3311 0.4703 Sm
0.3762 0.5396 0.6952 Sm
0.8762 0.9604 0.1952 Sm
0.6238 0.4604 0.3048 Sm
0.1238 0.0396 0.8048 Sm
0.8980 0.6689 0.5297 Sm
0.3980 0.8311 0.0297 Sm
0.6020 0.1689 0.9703 Sm
0.4178 0.8046 0.4354 Sm
0.0000 0.0000 0.5000 Hg
0.5000 0.5000 0.0000 Hg
0.6410 0.9032 0.7206 Mg
0.8590 0.4032 0.7794 Mg
0.3590 0.0968 0.2794 Mg
0.1410 0.5968 0.2206 Mg

=====

*x*
Sm6Mg2Hg PBE optimized geometry; total magnetic moment = 0.00 Bohr magnetons per cell
1.0
-0.2634 -2.1671 2.9027
8.0947 -2.7363 0.9640
2.6293 5.6970 6.7641
Sm Hg Mg
6 1 2
direct
0.0449 0.0956 0.8146 Sm
0.3216 0.8168 0.5400 Sm
0.6927 0.7161 0.8986 Sm
0.6784 0.1832 0.4600 Sm
0.9551 0.9044 0.1854 Sm
0.3073 0.2839 0.1014 Sm
0.0000 0.5000 0.5000 Hg
0.4085 0.4373 0.7457 Mg
0.5915 0.5627 0.2543 Mg

=====

Most stable = *x*

=====

*w*
SmMg4Hg2 PBE optimized geometry; total magnetic moment = 0.00 Bohr magnetons per cell
1.0
4.6438 0.0000 0.0000
0.0000 8.4317 0.0000
0.0000 0.0000 8.4317
Mg Hg Sm
8 4 2
direct
0.5000 0.8430 0.4055 Mg
0.5000 0.5945 0.1570 Mg
0.0000 0.0945 0.3430 Mg
0.5000 0.4055 0.8430 Mg
0.0000 0.6570 0.9055 Mg
0.5000 0.1570 0.5945 Mg
0.0000 0.9055 0.6570 Mg
0.0000 0.3430 0.0945 Mg
0.0000 0.7873 0.2127 Hg
0.5000 0.7127 0.7127 Hg
0.5000 0.2873 0.2873 Hg
0.0000 0.2127 0.7873 Hg
0.5000 0.0000 0.0000 Sm
0.0000 0.5000 0.5000 Sm

=====

*x*
SmMg4Hg2 PBE optimized geometry; total magnetic moment = 0.00 Bohr magnetons per cell
1.0
-2.4020 3.4715 1.1456
-2.3748 -2.5330 2.6965
6.7949 2.9842 5.2039
Sm Hg Mg
1 2 4
direct
0.0000 0.0000 0.0000 Sm
0.5000 0.4196 0.8392 Hg
0.5000 0.5804 0.1608 Hg
0.0000 0.3159 0.6319 Mg
0.0000 0.6841 0.3681 Mg
0.5000 0.1822 0.3644 Mg
0.5000 0.8178 0.6356 Mg

=====

Most stable = *w*

=====

*w*
Sm2MgHg8 PBE optimized geometry; total magnetic moment = 0.00 Bohr magnetons per cell
1.0
-3.7197 -1.0999 2.5953
0.1897 -4.3850 -1.5865
7.7094 -3.1771 9.7029
Hg Sm Mg
8 2 1
direct
0.5000 0.0000 0.8659 Hg
0.0000 0.5000 0.8659 Hg
0.5000 0.0000 0.5000 Hg
0.0000 0.5000 0.1341 Hg
0.5000 0.5000 0.3181 Hg
0.5000 0.5000 0.6819 Hg
0.0000 0.5000 0.5000 Hg
0.5000 0.0000 0.1341 Hg
0.0000 0.0000 0.3119 Sm
0.0000 0.0000 0.6881 Sm
0.0000 0.0000 0.0000 Mg

=====

*x*
Sm2MgHg8 PBE optimized geometry; total magnetic moment = 0.00 Bohr magnetons per cell
1.0
4.8489 0.0000 0.0000
0.0000 6.8701 0.0463
-2.4244 -2.8571 8.1724
Mg Hg Sm
1 8 2
direct
0.5000 0.0000 0.0000 Mg
0.6425 0.8753 0.2851 Hg
0.8381 0.8194 0.6761 Hg
0.3922 0.5847 0.7843 Hg
0.9838 0.2701 0.9675 Hg
0.1619 0.1806 0.3239 Hg
0.6078 0.4153 0.2157 Hg
0.3575 0.1247 0.7149 Hg
0.0162 0.7299 0.0325 Hg
0.7877 0.3128 0.5753 Sm
0.2123 0.6872 0.4247 Sm

=====

Most stable = *w*

=====

*w*
Sm2Mg3Hg4 PBE optimized geometry; total magnetic moment = 0.00 Bohr magnetons per cell
1.0
5.0491 -0.0006 0.0033
2.5234 4.3763 0.1766
0.0029 -0.3597 9.8640
Hg Sm Mg
4 2 3
direct
0.0007 0.9973 0.3465 Hg
0.9993 0.0027 0.6535 Hg
0.6664 0.6675 0.8972 Hg
0.3336 0.3325 0.1028 Hg
0.3329 0.3347 0.7871 Sm
0.6671 0.6653 0.2129 Sm
0.0000 0.0000 0.0000 Mg
0.3337 0.3319 0.4276 Mg
0.6663 0.6681 0.5724 Mg

=====

*x*
Sm2Mg3Hg4 PBE optimized geometry; total magnetic moment = 0.00 Bohr magnetons per cell
1.0
-5.3460 2.3332 -2.6361
-2.6146 -7.5645 -1.3929
-1.0809 -1.2562 8.8515
Sm Hg Mg
4 8 6
direct
0.8960 0.4097 0.7919 Sm
0.3960 0.0903 0.7919 Sm
0.6040 0.9097 0.2081 Sm
0.1040 0.5903 0.2081 Sm
0.3069 0.2500 0.1138 Hg
0.1931 0.7500 0.8862 Hg
0.8069 0.2500 0.1138 Hg
0.6931 0.7500 0.8862 Hg
0.1725 0.9635 0.3449 Hg
0.6725 0.5365 0.3449 Hg
0.8275 0.0365 0.6551 Hg
0.3275 0.4635 0.6551 Hg
0.4780 0.2500 0.4561 Mg
0.5220 0.7500 0.5439 Mg
0.0220 0.7500 0.5439 Mg
0.0000 0.0000 0.0000 Mg
0.5000 0.5000 0.0000 Mg
0.9780 0.2500 0.4561 Mg

=====

Most stable = *w*

=====

*w*
SmMgHg4 PBE optimized geometry; total magnetic moment = 0.00 Bohr magnetons per cell
1.0
-0.5321 -0.4748 -4.1659
-4.4273 -2.7399 -1.2662
-1.7294 7.0497 -2.7266
Hg Sm Mg
4 1 1
direct
0.6506 0.0093 0.6895 Hg
0.8267 0.5031 0.8434 Hg
0.1733 0.4969 0.1566 Hg
0.3494 0.9907 0.3105 Hg
0.5000 0.5000 0.5000 Sm
0.0000 0.0000 0.0000 Mg

=====

*x*
SmMgHg4 PBE optimized geometry; total magnetic moment = 0.00 Bohr magnetons per cell
1.0
4.2450 -0.0023 0.4912
0.0062 4.9102 -0.0257
1.3314 0.0280 7.1600
Hg Mg Sm
4 1 1
direct
0.0149 0.4969 0.7214 Hg
0.4984 0.9967 0.7534 Hg
0.6719 0.4978 0.4068 Hg
0.8187 0.9971 0.1145 Hg
0.1589 0.9982 0.4319 Mg
0.3450 0.4971 0.0608 Sm

=====

Most stable = *x*

=====

*w*
Sm2MgHg4 PBE optimized geometry; total magnetic moment = 0.00 Bohr magnetons per cell
1.0
-1.9936 3.9423 -2.7001
1.1919 -2.4229 -4.4176
-6.5873 -4.2673 3.5973
Hg Sm Mg
4 2 1
direct
0.5000 0.0000 0.0000 Hg
0.8165 0.8165 0.6330 Hg
0.0000 0.5000 0.0000 Hg
0.1835 0.1835 0.3670 Hg
0.3801 0.3801 0.7602 Sm
0.6199 0.6199 0.2398 Sm
0.0000 0.0000 0.0000 Mg

=====

*x*
Sm2MgHg4 PBE optimized geometry; total magnetic moment = 0.00 Bohr magnetons per cell
1.0
4.8290 0.0000 1.5087
2.1788 4.3095 1.5087
-0.1602 -0.0985 8.9955
Hg Sm Mg
4 2 1
direct
0.6252 0.6252 0.1244 Hg
0.8725 0.8725 0.3826 Hg
0.1275 0.1275 0.6174 Hg
0.3748 0.3748 0.8756 Hg
0.7499 0.7499 0.7504 Sm
0.2501 0.2501 0.2496 Sm
0.0000 0.0000 0.0000 Mg

=====

Most stable = *x*